1.
# Th5PaAs6 (PBE, optimized geometry)
# **ρ**: 9.54 Mg/m³
# **M_tot**: 0.00 μB per formula unit
# **Calculated volume**: 26.695 Å³/atom
# **ΔH_f (0 K)**: -1.335 eV per atom
data_Th5PaAs6
_cell_length_a 7.3226
_cell_length_b 12.6800
_cell_length_c 7.3196
_cell_angle_alpha 90.00
_cell_angle_beta 109.49
_cell_angle_gamma 90.00
_symmetry_space_group_name_H-M 'C 1 2/m 1'
_symmetry_Int_Tables_number 12
_symmetry_space_group_name_Hall '-C 2y'
loop_
_atom_site_label
_atom_site_type_symbol
_atom_site_fract_x
_atom_site_fract_y
_atom_site_fract_z
_atom_site_occupancy
Th1 Th 0.0000 0.0000 0.0000 1
Th2 Th 0.0000 0.1662 0.5000 1
Th3 Th 0.0000 0.3299 0.0000 1
Pa1 Pa 0.0000 0.5000 0.5000 1
As1 As 0.2430 0.5000 0.2519 1
As2 As 0.2442 0.3370 0.7442 1

---

2.
# Th2PaAs (PBE, optimized geometry)
# **ρ**: 10.98 Mg/m³
# **M_tot**: 0.00 μB per formula unit
# **Calculated volume**: 29.125 Å³/atom
# **ΔH_f (0 K)**: 0.045 eV per atom
data_Th2PaAs
_cell_length_a 3.5501
_cell_length_b 3.5501
_cell_length_c 32.0203
_cell_angle_alpha 90.00
_cell_angle_beta 90.00
_cell_angle_gamma 120.00
_symmetry_space_group_name_H-M 'R -3 m'
_symmetry_Int_Tables_number 166
_symmetry_space_group_name_Hall '-R 3 2"'
loop_
_atom_site_label
_atom_site_type_symbol
_atom_site_fract_x
_atom_site_fract_y
_atom_site_fract_z
_atom_site_occupancy
Th1 Th 0.0000 0.0000 0.1015 1
Pa1 Pa 0.0000 0.0000 0.0000 1
As1 As 0.0000 0.0000 0.5000 1

---

3.
# ThPa2As4 (PBE, optimized geometry)
# **ρ**: 8.87 Mg/m³
# **M_tot**: 0.66 μB per formula unit
# **Calculated volume**: 26.567 Å³/atom
# **ΔH_f (0 K)**: -0.941 eV per atom
data_ThPa2As4
_cell_length_a 4.0928
_cell_length_b 13.6319
_cell_length_c 13.3327
_cell_angle_alpha 90.00
_cell_angle_beta 90.00
_cell_angle_gamma 90.00
_symmetry_space_group_name_H-M 'C m c m'
_symmetry_Int_Tables_number 63
_symmetry_space_group_name_Hall '-C 2c 2'
loop_
_atom_site_label
_atom_site_type_symbol
_atom_site_fract_x
_atom_site_fract_y
_atom_site_fract_z
_atom_site_occupancy
Th1 Th 0.0000 0.1170 0.2500 1
Pa1 Pa 0.0000 0.3676 0.0640 1
As1 As 0.0000 0.0000 0.0000 1
As2 As 0.0000 0.2677 0.6271 1
As3 As 0.0000 0.4598 0.2500 1

---

4.
# ThPaAs (PBE, optimized geometry)
# **ρ**: 11.30 Mg/m³
# **M_tot**: 0.00 μB per formula unit
# **Energy above the most stable polymorph in this dataset**: 0.051 eV/atom
# **Calculated volume**: 26.358 Å³/atom
# **ΔH_f (0 K)**: -0.365 eV per atom
data_ThPaAs
_cell_length_a 3.6024
_cell_length_b 24.5492
_cell_length_c 3.5766
_cell_angle_alpha 90.00
_cell_angle_beta 90.00
_cell_angle_gamma 90.00
_symmetry_space_group_name_H-M 'C m c m'
_symmetry_Int_Tables_number 63
_symmetry_space_group_name_Hall '-C 2c 2'
loop_
_atom_site_label
_atom_site_type_symbol
_atom_site_fract_x
_atom_site_fract_y
_atom_site_fract_z
_atom_site_occupancy
Th1 Th 0.0000 0.1925 0.2500 1
Pa1 Pa 0.0000 0.0549 0.2500 1
As1 As 0.0000 0.3823 0.2500 1